[1]
Material: ReNiPb4
Method: DFT, PBE
State: relaxed

Cell lengths 6.210, 6.210, 6.210 Å; angles 60.00, 60.00, 60.00 degrees
Element x y z (fractional)
Re 0.000 0.000 0.000
Ni 0.750 0.750 0.750
Pb 0.375 0.375 0.375
Pb 0.375 0.375 0.876
Pb 0.375 0.876 0.375
Pb 0.876 0.375 0.375

Output
E_tot (eV/atom): -4.056

=====

[2]
Material: ReNi2Pb
Method: DFT, PBE
State: relaxed

Cell lengths 5.563, 7.546, 2.873 Å; angles 90.00, 90.15, 90.00 degrees
Element x y z (fractional)
Re 0.000 0.000 0.000
Re 0.500 0.500 0.000
Ni 0.250 0.250 0.500
Ni 0.250 0.750 0.500
Ni 0.750 0.250 0.500
Ni 0.750 0.750 0.500
Pb 0.000 0.500 0.000
Pb 0.500 0.000 0.000

Output
E_tot (eV/atom): -6.368

=====

[3]
Material: ReNi2Pb
Method: DFT, PBE
State: relaxed

Cell lengths 2.884, 2.884, 7.626 Å; angles 90.00, 90.00, 90.00 degrees
Element x y z (fractional)
Re 0.000 0.000 0.000
Ni 0.500 0.500 0.209
Ni 0.500 0.500 0.791
Pb 0.000 0.000 0.500

Output
E_tot (eV/atom): -6.534

=====

[4]
Material: ReNi2Pb
Method: DFT, PBE
State: relaxed

Cell lengths 2.866, 4.286, 4.950 Å; angles 90.00, 90.00, 90.00 degrees
Element x y z (fractional)
Re 0.000 0.000 0.000
Ni 0.500 0.000 0.573
Ni 0.500 0.500 0.865
Pb 0.000 0.500 0.378

Output
E_tot (eV/atom): -6.442

=====

E_form, record by record: 1.455; 0.562; 0.396; 0.488 eV per atom